# Ho6Er2Th

An optimized crystal structure of Ho6Er2Th (GGA-PBE, Alexandria).

Structure (CIF):
```
data_Ho6Er2Th
_symmetry_space_group_name_H-M 'P 1'
_symmetry_Int_Tables_number 1
_symmetry_space_group_name_Hall 'P 1'
_cell_length_a 3.552
_cell_length_b 3.552
_cell_length_c 26.023
_cell_angle_alpha 90.00
_cell_angle_beta 90.00
_cell_angle_gamma 120.00
loop_
_atom_site_label
_atom_site_type_symbol
_atom_site_fract_x
_atom_site_fract_y
_atom_site_fract_z
Ho1 Ho 0.000 0.000 0.435
Ho2 Ho 0.000 0.000 0.220
Ho3 Ho 0.000 0.000 0.565
Ho4 Ho 0.333 0.667 0.889
Ho5 Ho 0.333 0.667 0.111
Ho6 Ho 0.000 0.000 0.780
Er1 Er 0.333 0.667 0.329
Er2 Er 0.333 0.667 0.671
Th1 Th 0.000 0.000 0.000
```

SG ... No. 187
Raw total energy ... -43.49 eV for the cell shown